Material: Rb2GeCF6
Method: DFT, PBE-GGA
State: optimized geometry

Lattice parameters (Å, degrees): 8.4672 8.4672 8.4672 90.00 90.00 90.00
Space group Fm-3m (No. 225)
Asymmetric unit:
Rb 0.2500 0.2500 0.2500
Ge 0.0000 0.0000 0.0000
C 0.0000 0.0000 0.5000
F 0.0000 0.0000 0.2603

Output
E_form (uncorrected): -1.5963 eV/atom